Entry 1:
{
  "formula": "TlNi2Os",
  "functional": "PBE-GGA",
  "state": "relaxed",
  "cell": [[4.0551, 0.0000, 0.0000], [0.0000, 4.0526, 0.0000], [0.0000, 0.0000, 3.5268]],
  "species": ["Os", "Ni", "Ni", "Tl"],
  "frac_coords": [[0.5000, 0.0000, 0.5000], [0.5000, 0.5000, 0.0000], [0.0000, 0.0000, 0.0000], [0.0000, 0.5000, 0.5000]],
  "formation_energy_mev_per_atom": 596,
  "energy_ev_per_cell": -22.77,
  "polymorph_energy_mev_per_atom": 169,
  "rho_g_cm3": 14.7,
  "sg": "P4/mmm (123)",
  "crystal_system": "tetragonal"
}

---

Entry 2:
{
  "formula": "Tl4NiOs",
  "functional": "PBE-GGA",
  "state": "relaxed",
  "cell": [[1.7585, 1.4452, 5.5865], [-3.1633, 4.0046, 3.2167], [-3.2382, -1.8294, 4.7495]],
  "species": ["Tl", "Tl", "Tl", "Tl", "Ni", "Os"],
  "frac_coords": [[0.3749, 0.3749, 0.8754], [0.3749, 0.8754, 0.3749], [0.8754, 0.3749, 0.3749], [0.3749, 0.3749, 0.3749], [0.7500, 0.7500, 0.7500], [0.0000, 0.0000, 0.0000]],
  "formation_energy_mev_per_atom": 1448,
  "energy_ev_per_cell": -17.79,
  "rho_g_cm3": 11.4,
  "sg": "F-43m (216)",
  "crystal_system": "cubic"
}

---

Entry 3:
{
  "formula": "TlNiOs4",
  "functional": "PBE-GGA",
  "state": "relaxed",
  "cell": [[-4.3553, -0.9086, -2.6980], [-4.2518, 2.8670, 0.8808], [-1.6125, 3.4265, -3.5683]],
  "species": ["Os", "Os", "Os", "Os", "Tl", "Ni"],
  "frac_coords": [[0.3743, 0.3743, 0.3743], [0.3743, 0.8770, 0.3743], [0.3743, 0.3743, 0.8770], [0.8770, 0.3743, 0.3743], [0.7500, 0.7500, 0.7500], [0.0000, 0.0000, 0.0000]],
  "formation_energy_mev_per_atom": 1047,
  "energy_ev_per_cell": -46.78,
  "rho_g_cm3": 17.1,
  "sg": "F-43m (216)",
  "crystal_system": "cubic"
}

---

Entry 4:
{
  "formula": "Tl2NiOs",
  "functional": "PBE-GGA",
  "state": "relaxed",
  "cell": [[4.0909, 0.0000, 0.0000], [0.0000, 3.8197, -0.0032], [0.0000, 1.9100, 5.0143]],
  "species": ["Tl", "Tl", "Ni", "Os"],
  "frac_coords": [[0.5000, 0.2756, 0.3213], [0.0000, 0.9777, 0.9200], [0.0000, 0.6872, 0.5033], [0.5000, 0.5595, 0.7554]],
  "formation_energy_mev_per_atom": 660,
  "energy_ev_per_cell": -19.10,
  "polymorph_energy_mev_per_atom": 60,
  "rho_g_cm3": 13.9,
  "sg": "Pm (6)",
  "crystal_system": "monoclinic"
}

---

Entry 5:
{
  "formula": "Tl2NiOs",
  "functional": "PBE-GGA",
  "state": "relaxed",
  "cell": [[4.1749, 0.0000, 0.0000], [0.0000, 4.1749, 0.0000], [2.0874, 2.0874, 9.3558]],
  "species": ["Ni", "Ni", "Tl", "Tl", "Tl", "Tl", "Os", "Os"],
  "frac_coords": [[0.5000, 0.5000, 0.0000], [0.2500, 0.7500, 0.5000], [0.3750, 0.3779, 0.7500], [0.8750, 0.8721, 0.7500], [0.1279, 0.6250, 0.2500], [0.6221, 0.1250, 0.2500], [0.7500, 0.2500, 0.5000], [0.0000, 0.0000, 0.0000]],
  "formation_energy_mev_per_atom": 1129,
  "energy_ev_per_cell": -34.46,
  "polymorph_energy_mev_per_atom": 529,
  "rho_g_cm3": 13.4,
  "sg": "I-42d (122)",
  "crystal_system": "tetragonal"
}

---

Entry 6:
{
  "formula": "Tl2NiOs",
  "functional": "PBE-GGA",
  "state": "relaxed",
  "cell": [[-3.1698, 3.2625, -0.9932], [-3.0196, -3.4596, -0.7690], [-0.9029, 0.0853, 3.1617]],
  "species": ["Tl", "Tl", "Ni", "Os"],
  "frac_coords": [[0.0000, 0.0000, 0.0000], [0.5000, 0.5000, 0.0000], [0.5000, 0.0000, 0.5000], [0.0000, 0.5000, 0.5000]],
  "formation_energy_mev_per_atom": 778,
  "energy_ev_per_cell": -18.63,
  "polymorph_energy_mev_per_atom": 179,
  "rho_g_cm3": 15.3,
  "sg": "Cmmm (65)",
  "crystal_system": "orthorhombic"
}

---

Entry 7:
{
  "formula": "Tl2NiOs",
  "functional": "PBE-GGA",
  "state": "relaxed",
  "cell": [[-4.3468, 4.5424, -1.0604], [-4.1355, 2.6196, 4.0851], [5.9060, -1.4338, -1.9277]],
  "species": ["Os", "Tl", "Tl", "Ni"],
  "frac_coords": [[0.7344, 0.2344, 0.5000], [0.2397, 0.7397, 0.5000], [0.9644, 0.9644, 0.0000], [0.5615, 0.5615, 0.0000]],
  "formation_energy_mev_per_atom": 721,
  "energy_ev_per_cell": -18.86,
  "polymorph_energy_mev_per_atom": 122,
  "rho_g_cm3": 13.7,
  "sg": "Imm2 (44)",
  "crystal_system": "orthorhombic"
}

---

Entry 8:
{
  "formula": "Tl2NiOs",
  "functional": "PBE-GGA",
  "state": "relaxed",
  "cell": [[3.3425, 0.0000, 0.0000], [0.0000, 3.3425, 0.0000], [0.0000, 0.0000, 6.3273]],
  "species": ["Ni", "Tl", "Tl", "Os"],
  "frac_coords": [[0.5000, 0.5000, 0.2500], [0.0000, 0.0000, 0.4934], [0.0000, 0.0000, 0.0066], [0.5000, 0.5000, 0.7500]],
  "formation_energy_mev_per_atom": 788,
  "energy_ev_per_cell": -18.59,
  "polymorph_energy_mev_per_atom": 189,
  "rho_g_cm3": 15.4,
  "sg": "P4/mmm (123)",
  "crystal_system": "tetragonal"
}

---

Entry 9:
{
  "formula": "TlNi2Os",
  "functional": "PBE-GGA",
  "state": "relaxed",
  "cell": [[-3.5588, -1.4203, 3.6043], [-4.4665, -2.2939, -1.5690], [5.2516, -0.1043, 0.2883]],
  "species": ["Os", "Ni", "Ni", "Tl"],
  "frac_coords": [[0.5181, 0.5181, 0.0000], [0.7561, 0.2561, 0.5000], [0.9853, 0.9853, 0.0000], [0.2406, 0.7406, 0.5000]],
  "formation_energy_mev_per_atom": 561,
  "energy_ev_per_cell": -22.91,
  "polymorph_energy_mev_per_atom": 134,
  "rho_g_cm3": 14.7,
  "sg": "Imm2 (44)",
  "crystal_system": "orthorhombic"
}

---

Entry 10:
{
  "formula": "TlNi2Os",
  "functional": "PBE-GGA",
  "state": "relaxed",
  "cell": [[-7.4663, -2.5830, 3.5473], [-7.6527, -3.9230, 1.0229], [-6.2093, -5.1303, 3.1819]],
  "species": ["Os", "Ni", "Ni", "Tl"],
  "frac_coords": [[0.5111, 0.5111, 0.5111], [0.9915, 0.9915, 0.9915], [0.2521, 0.2521, 0.2521], [0.7454, 0.7454, 0.7454]],
  "formation_energy_mev_per_atom": 660,
  "energy_ev_per_cell": -22.52,
  "polymorph_energy_mev_per_atom": 233,
  "rho_g_cm3": 14.1,
  "sg": "R3m (160)",
  "crystal_system": "trigonal"
}

---

Entry 11:
{
  "formula": "Tl3NiOs",
  "functional": "PBE-GGA",
  "state": "relaxed",
  "cell": [[5.2800, 0.0000, 0.0000], [0.0000, 5.2800, 0.0000], [0.0000, 0.0000, 5.2800]],
  "species": ["Tl", "Tl", "Tl", "Ni", "Os"],
  "frac_coords": [[0.0000, 0.5000, 0.0000], [0.5000, 0.0000, 0.0000], [0.0000, 0.0000, 0.5000], [0.5000, 0.5000, 0.5000], [0.0000, 0.0000, 0.0000]],
  "formation_energy_mev_per_atom": 1061,
  "energy_ev_per_cell": -18.80,
  "rho_g_cm3": 9.7,
  "sg": "Pm-3m (221)",
  "crystal_system": "cubic"
}

---

Entry 12:
{
  "formula": "Tl2NiOs",
  "functional": "PBE-GGA",
  "state": "relaxed",
  "cell": [[0.0000, 3.2926, 3.2926], [3.2926, 0.0000, 3.2926], [3.2926, 3.2926, 0.0000]],
  "species": ["Os", "Tl", "Tl", "Ni"],
  "frac_coords": [[0.5000, 0.5000, 0.5000], [0.7500, 0.7500, 0.7500], [0.2500, 0.2500, 0.2500], [0.0000, 0.0000, 0.0000]],
  "formation_energy_mev_per_atom": 819,
  "energy_ev_per_cell": -18.47,
  "polymorph_energy_mev_per_atom": 220,
  "rho_g_cm3": 15.3,
  "sg": "Fm-3m (225)",
  "crystal_system": "cubic"
}

---

Entry 13:
{
  "formula": "TlNi2Os",
  "functional": "PBE-GGA",
  "state": "relaxed",
  "cell": [[4.5726, -0.0104, 0.0000], [1.0468, 4.4512, 0.0000], [-2.8097, -2.2204, 2.8433]],
  "species": ["Ni", "Ni", "Os", "Tl"],
  "frac_coords": [[0.5000, 0.5000, 0.0000], [0.0000, 0.0000, 0.0000], [0.2500, 0.7500, 0.5000], [0.7500, 0.2500, 0.5000]],
  "formation_energy_mev_per_atom": 592,
  "energy_ev_per_cell": -22.79,
  "polymorph_energy_mev_per_atom": 165,
  "rho_g_cm3": 14.7,
  "sg": "I4/mmm (139)",
  "crystal_system": "tetragonal"
}

---

Entry 14:
{
  "formula": "TlNi2Os",
  "functional": "PBE-GGA",
  "state": "relaxed",
  "cell": [[3.5797, 0.0000, 0.0000], [0.0000, 2.8143, 0.0174], [0.0000, 2.7972, 5.8853]],
  "species": ["Ni", "Ni", "Os", "Tl"],
  "frac_coords": [[0.0000, 0.9602, 0.0406], [0.0000, 0.5398, 0.4594], [0.5000, 0.2500, 0.2500], [0.5000, 0.7500, 0.7500]],
  "formation_energy_mev_per_atom": 455,
  "energy_ev_per_cell": -23.34,
  "polymorph_energy_mev_per_atom": 28,
  "rho_g_cm3": 14.4,
  "sg": "P2/m (10)",
  "crystal_system": "monoclinic"
}

---

| no. | total moment (μB per cell) |
| --- | --- |
| 1 | 0.973 |
| 2 | 2.583 |
| 3 | 0.006 |
| 4 | 0.000 |
| 5 | 2.583 |
| 6 | 0.000 |
| 7 | 0.001 |
| 8 | 0.000 |
| 9 | 0.000 |
| 10 | 0.005 |
| 11 | 1.217 |
| 12 | 0.000 |
| 13 | 0.000 |
| 14 | 0.001 |